(a)
Compound: MnPN
Source: Alexandria via LeMat-Bulk
Functional: PBE
Structure: relaxed

Cell and atoms, written as POSCAR:
```
MnPN
1.0
2.610 -0.003 -0.002
-1.291 3.360 -0.012
0.000 -1.854 4.143
Mn P N
1 1 1
Direct
0.201 0.245 0.563
0.562 0.967 0.855
0.660 0.165 0.252
```

- SG: No. 1


(b)
Compound: MnPN
Source: Alexandria via LeMat-Bulk
Functional: PBE
Structure: relaxed

Cell and atoms, written as POSCAR:
```
MnPN
1.0
-3.370 -0.582 -1.730
0.999 -2.128 -1.229
-0.487 -3.524 5.705
Mn P N
2 2 2
Direct
0.702 0.000 0.715
0.702 0.500 0.215
0.200 0.000 0.190
0.200 0.500 0.690
0.805 0.000 0.013
0.805 0.500 0.513
```

- SG: No. 8


(c)
Compound: MnPN
Source: Alexandria via LeMat-Bulk
Functional: PBE
Structure: relaxed

Cell and atoms, written as POSCAR:
```
MnPN
1.0
-2.281 2.001 3.257
-2.691 -1.242 -1.122
1.783 -5.010 1.268
Mn P N
2 2 2
Direct
0.935 0.000 0.525
0.935 0.500 0.025
0.587 0.000 0.075
0.587 0.500 0.575
0.183 0.000 0.941
0.183 0.500 0.441
```

- SG: No. 8


Verdict on stability: (b) comes out at the bottom.


(a)
Compound: MnPN
Source: Alexandria via LeMat-Bulk
Functional: PBE
Structure: relaxed

Cell and atoms, written as POSCAR:
```
MnPN
1.0
-1.480 1.672 1.495
-1.195 -1.262 2.098
3.204 0.909 2.689
Mn P N
1 1 1
Direct
0.593 0.747 0.578
0.024 0.190 0.206
0.546 0.234 0.923
```

- SG: No. 1


(b)
Compound: MnPN
Source: Alexandria via LeMat-Bulk
Functional: PBE
Structure: relaxed

Cell and atoms, written as POSCAR:
```
MnPN
1.0
2.606 0.000 0.000
-1.303 2.257 0.000
0.000 0.000 15.915
Mn P N
3 3 3
Direct
0.000 0.000 0.972
0.333 0.667 0.638
0.667 0.333 0.305
0.000 0.000 0.124
0.333 0.667 0.791
0.667 0.333 0.457
0.000 0.000 0.235
0.333 0.667 0.901
0.667 0.333 0.568
```

- SG: No. 160


Verdict on stability: (b) comes out at the bottom.


(a)
Compound: RbMnPN
Source: Alexandria via LeMat-Bulk
Functional: PBE
Structure: relaxed

Cell and atoms, written as POSCAR:
```
RbMnPN
1.0
7.198 0.000 -0.002
0.000 3.175 0.000
-2.486 0.000 6.976
Rb Mn P N
2 2 2 2
Direct
0.257 0.000 0.836
0.257 0.500 0.336
0.742 0.000 0.279
0.742 0.500 0.779
0.845 0.000 0.013
0.845 0.500 0.513
0.510 0.000 0.210
0.510 0.500 0.710
```

- SG: No. 8


(b)
Compound: RbMnPN
Source: Alexandria via LeMat-Bulk
Functional: PBE
Structure: relaxed

Cell and atoms, written as POSCAR:
```
RbMnPN
1.0
-3.581 4.072 3.273
-1.777 -2.483 1.145
5.301 -1.443 5.093
Rb Mn P N
2 2 2 2
Direct
0.268 0.000 0.713
0.268 0.500 0.213
0.710 0.000 0.526
0.710 0.500 0.026
0.796 0.000 0.248
0.796 0.500 0.748
0.581 0.000 0.038
0.581 0.500 0.538
```

- SG: No. 8


(c)
Compound: RbMnPN
Source: Alexandria via LeMat-Bulk
Functional: PBE
Structure: relaxed

Cell and atoms, written as POSCAR:
```
RbMnPN
1.0
-0.073 -3.584 0.107
2.696 1.816 2.617
-4.799 0.210 3.635
Rb Mn P N
1 1 1 1
Direct
0.938 0.993 0.747
0.632 0.380 0.290
0.319 0.752 0.198
0.178 0.471 0.411
```

- SG: No. 8


Verdict on stability: (a) comes out at the bottom.


(a)
Compound: RbMnPN
Source: Alexandria via LeMat-Bulk
Functional: PBE
Structure: relaxed

Cell and atoms, written as POSCAR:
```
RbMnPN
1.0
-1.419 -2.639 -1.197
2.270 -2.532 2.894
-4.269 0.534 3.819
Rb Mn P N
1 1 1 1
Direct
0.280 0.331 0.214
0.279 0.745 0.714
0.779 0.094 0.714
0.779 0.462 0.714
```

- SG: No. 1


(b)
Compound: RbMnPN
Source: Alexandria via LeMat-Bulk
Functional: PBE
Structure: relaxed

Cell and atoms, written as POSCAR:
```
RbMnPN
1.0
3.741 0.000 0.000
0.000 3.027 0.000
0.000 0.000 13.167
Rb Mn P N
2 2 2 2
Direct
0.000 0.500 0.625
0.500 0.000 0.125
0.000 0.000 0.342
0.500 0.500 0.842
0.000 0.500 0.936
0.500 0.000 0.436
0.000 0.500 0.275
0.500 0.000 0.775
```

- SG: No. 44


Verdict on stability: (a) comes out at the bottom.


(a)
Compound: RbMnPN
Source: Alexandria via LeMat-Bulk
Functional: PBE
Structure: relaxed

Cell and atoms, written as POSCAR:
```
RbMnPN
1.0
-1.816 2.229 -4.240
2.827 -1.497 -1.998
-5.282 -7.635 -1.752
Rb Mn P N
2 2 2 2
Direct
0.000 0.000 0.344
0.000 0.500 0.844
0.500 0.000 0.648
0.500 0.500 0.148
0.500 0.000 0.010
0.500 0.500 0.510
0.500 0.000 0.836
0.500 0.500 0.336
```

- SG: No. 38


(b)
Compound: RbMnPN
Source: Alexandria via LeMat-Bulk
Functional: PBE
Structure: relaxed

Cell and atoms, written as POSCAR:
```
RbMnPN
1.0
3.804 0.119 -0.057
1.166 4.180 -0.310
0.078 0.440 5.648
Rb Mn P N
1 1 1 1
Direct
0.012 0.981 0.786
0.594 0.645 0.287
0.451 0.181 0.286
0.118 0.533 0.287
```

- SG: No. 1


Verdict on stability: (b) comes out at the bottom.


(a)
Compound: MnPS2N
Source: Alexandria via LeMat-Bulk
Functional: PBE
Structure: relaxed

Cell and atoms, written as POSCAR:
```
MnPS2N
1.0
-1.284 2.309 3.768
3.289 -2.122 2.421
2.036 2.324 -0.730
P S Mn N
1 2 1 1
Direct
0.000 0.000 0.000
0.000 0.500 0.000
0.500 0.000 0.000
0.500 0.500 0.500
0.000 0.000 0.500
```

- SG: No. 123


(b)
Compound: MnPS2N
Source: Alexandria via LeMat-Bulk
Functional: PBE
Structure: relaxed

Cell and atoms, written as POSCAR:
```
MnPS2N
1.0
-4.440 -0.607 -0.976
1.137 -2.880 -3.384
-0.124 -2.631 2.198
P S Mn N
1 2 1 1
Direct
0.500 0.500 0.500
0.000 0.500 0.000
0.500 0.000 0.000
0.000 0.000 0.000
0.000 0.000 0.500
```

- SG: No. 123


Verdict on stability: (a) comes out at the bottom.


(a)
Compound: MnPS2N
Source: Alexandria via LeMat-Bulk
Functional: PBE
Structure: relaxed

Cell and atoms, written as POSCAR:
```
MnPS2N
1.0
-3.168 1.264 2.237
-2.389 -0.140 -3.303
-0.878 -3.593 0.787
P S Mn N
1 2 1 1
Direct
0.000 0.000 0.500
0.000 0.500 0.000
0.500 0.000 0.000
0.500 0.500 0.500
0.000 0.000 0.000
```

- SG: No. 123


(b)
Compound: MnPS2N
Source: Alexandria via LeMat-Bulk
Functional: PBE
Structure: relaxed

Cell and atoms, written as POSCAR:
```
MnPS2N
1.0
-1.261 2.464 -3.163
-0.741 -3.402 -2.355
-4.241 -0.160 1.566
P S Mn N
1 2 1 1
Direct
0.000 0.000 0.500
0.000 0.500 0.000
0.500 0.000 0.000
0.000 0.000 0.000
0.500 0.500 0.500
```

- SG: No. 123


Verdict on stability: (b) comes out at the bottom.


(a)
Compound: MnPSN2
Source: Alexandria via LeMat-Bulk
Functional: PBE
Structure: relaxed

Cell and atoms, written as POSCAR:
```
MnPSN2
1.0
3.342 0.000 0.000
0.000 6.240 0.000
0.000 0.000 3.342
P S Mn N
1 1 1 2
Direct
0.000 0.000 0.000
0.000 0.500 0.000
0.500 0.500 0.500
0.000 0.000 0.500
0.500 0.000 0.000
```

- SG: No. 123


(b)
Compound: MnPSN2
Source: Alexandria via LeMat-Bulk
Functional: PBE
Structure: relaxed

Cell and atoms, written as POSCAR:
```
MnPSN2
1.0
-3.209 -1.111 -1.083
1.402 -1.012 -3.117
0.930 -4.525 1.887
P S Mn N
1 1 1 2
Direct
0.500 0.500 0.500
0.000 0.000 0.500
0.000 0.000 0.000
0.000 0.500 0.000
0.500 0.000 0.000
```

- SG: No. 123


Verdict on stability: (b) comes out at the bottom.


(a)
Compound: MnPSeN2
Source: Alexandria via LeMat-Bulk
Functional: PBE
Structure: relaxed

Cell and atoms, written as POSCAR:
```
MnPSeN2
1.0
3.599 0.000 0.000
0.000 3.599 0.000
0.000 0.000 5.290
P Mn Se N
1 1 1 2
Direct
0.500 0.500 0.500
0.000 0.000 0.000
0.000 0.000 0.500
0.000 0.500 0.000
0.500 0.000 0.000
```

- SG: No. 123


(b)
Compound: MnPSeN2
Source: Alexandria via LeMat-Bulk
Functional: PBE
Structure: relaxed

Cell and atoms, written as POSCAR:
```
MnPSeN2
1.0
-0.903 -2.436 -2.215
2.280 1.194 -2.242
4.682 -4.085 2.584
P Mn Se N
1 1 1 2
Direct
0.000 0.000 0.000
0.500 0.500 0.500
0.000 0.000 0.500
0.000 0.500 0.000
0.500 0.000 0.000
```

- SG: No. 123


Verdict on stability: (a) comes out at the bottom.


(a)
Compound: MnTePN2
Source: Alexandria via LeMat-Bulk
Functional: PBE
Structure: relaxed

Cell and atoms, written as POSCAR:
```
MnTePN2
1.0
-0.767 0.641 -3.421
-3.355 -1.069 0.552
-1.749 6.298 1.571
P Te Mn N
1 1 1 2
Direct
0.000 0.000 0.000
0.000 0.000 0.500
0.500 0.500 0.500
0.000 0.500 0.000
0.500 0.000 0.000
```

- SG: No. 123


(b)
Compound: MnTePN2
Source: Alexandria via LeMat-Bulk
Functional: PBE
Structure: relaxed

Cell and atoms, written as POSCAR:
```
MnTePN2
1.0
3.652 0.000 0.000
0.000 3.652 0.000
0.000 0.000 5.736
P Te Mn N
1 1 1 2
Direct
0.500 0.500 0.500
0.000 0.000 0.500
0.000 0.000 0.000
0.000 0.500 0.000
0.500 0.000 0.000
```

- SG: No. 123


Verdict on stability: (a) comes out at the bottom.


(a)
Compound: MnPbSN2
Source: Alexandria via LeMat-Bulk
Functional: PBE
Structure: relaxed

Cell and atoms, written as POSCAR:
```
MnPbSN2
1.0
-0.324 -4.105 0.965
0.822 -1.011 -4.023
5.464 -0.160 1.156
Pb S Mn N
1 1 1 2
Direct
0.000 0.000 0.000
0.000 0.000 0.500
0.500 0.500 0.500
0.000 0.500 0.000
0.500 0.000 0.000
```

- SG: No. 123


(b)
Compound: MnPbSN2
Source: Alexandria via LeMat-Bulk
Functional: PBE
Structure: relaxed

Cell and atoms, written as POSCAR:
```
MnPbSN2
1.0
3.796 0.000 0.000
0.000 3.796 0.000
0.000 0.000 4.987
Pb S Mn N
1 1 1 2
Direct
0.500 0.500 0.500
0.000 0.000 0.500
0.000 0.000 0.000
0.000 0.500 0.000
0.500 0.000 0.000
```

- SG: No. 123


Verdict on stability: (a) comes out at the bottom.


(a)
Compound: ScMnPb2N
Source: Alexandria via LeMat-Bulk
Functional: PBE
Structure: relaxed

Cell and atoms, written as POSCAR:
```
ScMnPb2N
1.0
-0.920 -4.491 2.436
4.037 -0.534 0.540
-0.273 2.515 4.533
Pb Sc Mn N
2 1 1 1
Direct
0.000 0.000 0.500
0.500 0.000 0.000
0.000 0.500 0.000
0.500 0.500 0.500
0.000 0.000 0.000
```

- SG: No. 123


(b)
Compound: ScMnPb2N
Source: Alexandria via LeMat-Bulk
Functional: PBE
Structure: relaxed

Cell and atoms, written as POSCAR:
```
ScMnPb2N
1.0
5.599 0.000 0.000
0.000 3.473 0.000
0.000 0.000 5.599
Pb Sc Mn N
2 1 1 1
Direct
0.000 0.000 0.500
0.500 0.000 0.000
0.500 0.500 0.500
0.000 0.000 0.000
0.000 0.500 0.000
```

- SG: No. 123


Verdict on stability: (b) comes out at the bottom.


(a)
Compound: MnPbSe2N
Source: Alexandria via LeMat-Bulk
Functional: PBE
Structure: relaxed

Cell and atoms, written as POSCAR:
```
MnPbSe2N
1.0
-5.243 1.647 -0.058
-1.178 -3.610 3.973
0.891 2.938 2.933
Pb Mn Se N
1 1 2 1
Direct
0.000 0.000 0.000
0.500 0.500 0.500
0.000 0.500 0.000
0.500 0.000 0.000
0.000 0.000 0.500
```

- SG: No. 123


(b)
Compound: MnPbSe2N
Source: Alexandria via LeMat-Bulk
Functional: PBE
Structure: relaxed

Cell and atoms, written as POSCAR:
```
MnPbSe2N
1.0
-4.753 -1.495 1.596
1.564 -4.993 -0.018
1.047 0.315 3.413
Pb Mn Se N
1 1 2 1
Direct
0.500 0.500 0.500
0.000 0.000 0.000
0.000 0.500 0.000
0.500 0.000 0.000
0.000 0.000 0.500
```

- SG: No. 123


Verdict on stability: (a) comes out at the bottom.